*w*
! Dy2HoEr, relaxed, DFT GGA-PBE; values from VASP
&SYSTEM
  ibrav = 0, nat = 16, ntyp = 3
/
ATOMIC_SPECIES
Dy 162.50 Dy.upf
Ho 164.93 Ho.upf
Er 167.26 Er.upf
CELL_PARAMETERS angstrom
11.464 0.000 0.000
0.000 6.007 0.000
0.000 0.000 7.182
ATOMIC_POSITIONS angstrom
Dy 1.402 0.990 0.000
Dy 1.397 3.994 1.795
Dy 4.336 0.991 5.386
Dy 4.330 3.993 3.591
Dy 7.134 2.014 0.000
Dy 7.129 5.016 1.795
Dy 10.068 2.012 5.386
Dy 10.063 5.017 3.591
Ho 1.398 0.990 3.591
Ho 4.334 3.993 0.000
Ho 7.131 2.014 3.591
Ho 10.066 5.017 0.000
Er 1.391 3.995 5.387
Er 4.342 0.992 1.796
Er 7.123 5.015 5.387
Er 10.074 2.011 1.796
! Symmetry: Pna2_1 (33)
! Calculated density in g/cm3: 8.83
! Density of states at the Fermi level in states/eV/f.u.: 6.344


*x*
! Dy2HoEr, relaxed, DFT GGA-PBE; values from VASP
&SYSTEM
  ibrav = 0, nat = 4, ntyp = 3
/
ATOMIC_SPECIES
Dy 162.50 Dy.upf
Ho 164.93 Ho.upf
Er 167.26 Er.upf
CELL_PARAMETERS angstrom
4.982 0.000 0.000
0.000 4.982 0.000
0.000 0.000 4.976
ATOMIC_POSITIONS angstrom
Dy 0.000 2.491 0.000
Dy 2.491 0.000 0.000
Ho 0.000 0.000 2.488
Er 2.491 2.491 2.488
! Symmetry: P4/mmm (123)
! Calculated density in g/cm3: 8.84
! Density of states at the Fermi level in states/eV/f.u.: 5.917


The least stable of them is *w*.